Entry 1:
First-principles (PBE) data for SrTc2MoC after structural relaxation, as listed in Alexandria.

Cell lengths 4.313, 4.313, 4.315 Å; angles 90.00, 90.00, 90.00 degrees
Fractional coordinates of all 5 atoms:
Sr (0.000, 0.000, 0.000)
Tc (0.000, 0.500, 0.500)
Tc (0.500, 0.000, 0.500)
Mo (0.500, 0.500, 0.000)
C (0.500, 0.500, 0.500)

* space group: P4/mmm, No. 123
* theoretical density: 8.10 g cm⁻³
* formation energy from the elements: 0.6670 eV/atom
* DOS at the Fermi energy: 1.3061 states/eV/atom
* E: -7.83 eV/atom

Entry 2:
First-principles (PBE) data for Gd2FeCl after structural relaxation, as listed in Alexandria.

Cell lengths 3.347, 3.347, 7.843 Å; angles 90.00, 90.00, 90.00 degrees
Fractional coordinates of all 4 atoms:
Gd (0.000, 0.000, 0.210)
Gd (0.000, 0.000, 0.790)
Fe (0.500, 0.500, 0.000)
Cl (0.500, 0.500, 0.500)

* space group: P4/mmm, No. 123
* theoretical density: 7.67 g cm⁻³
* DOS at the Fermi energy: 0.6105 states/eV/atom
* E: -10.25 eV/atom
* polymorph energy (0 for the lowest one): 1.53 kJ per mole of atoms
* ΔE_f (raw): -2.52 eV/f.u.

- What is the E in the second record?
  -10.25 eV/atom

- The highest theoretical density belongs to which entry?
  SrTc2MoC

- Which formula does entry 2 have?
  Gd2FeCl